No. 1
! YReMo2, optimized geometry, DFT PBE-GGA; values from VASP
&SYSTEM
  ibrav = 0, nat = 4, ntyp = 3
/
ATOMIC_SPECIES
Y 88.91 Y.upf
Re 186.21 Re.upf
Mo 95.94 Mo.upf
CELL_PARAMETERS angstrom
2.962 0.000 0.000
0.000 4.359 0.000
-1.167 0.000 5.690
ATOMIC_POSITIONS angstrom
Y 0.000 0.000 0.000
Re -0.042 2.179 4.026
Mo 0.911 0.000 2.881
Mo 1.842 2.179 1.697
! formation energy from the elements = 0.342 eV/atom
! SG = No. 6
! calculated density = 10.6 g/cm3
! polymorph energy (0 for the lowest one) = 114.8 meV/atom

---

No. 2
! YReMo2, optimized geometry, DFT PBE-GGA; values from VASP
&SYSTEM
  ibrav = 0, nat = 12, ntyp = 3
/
ATOMIC_SPECIES
Y 88.91 Y.upf
Re 186.21 Re.upf
Mo 95.94 Mo.upf
CELL_PARAMETERS angstrom
2.959 0.000 0.000
-1.480 2.563 0.000
0.000 0.000 28.548
ATOMIC_POSITIONS angstrom
Y 0.000 0.000 0.000
Y 0.000 1.708 19.032
Y 1.480 0.854 9.516
Re 0.000 0.000 14.274
Re 0.000 1.708 4.758
Re 1.480 0.854 23.790
Mo 0.000 0.000 6.884
Mo 0.000 0.000 21.663
Mo 0.000 1.708 12.147
Mo 0.000 1.708 25.916
Mo 1.480 0.854 2.631
Mo 1.480 0.854 16.400
! formation energy from the elements = 0.535 eV/atom
! SG = No. 166
! calculated density = 10.7 g/cm3
! polymorph energy (0 for the lowest one) = 308.5 meV/atom

---

No. 3
! YReMo2, optimized geometry, DFT PBE-GGA; values from VASP
&SYSTEM
  ibrav = 0, nat = 4, ntyp = 3
/
ATOMIC_SPECIES
Y 88.91 Y.upf
Re 186.21 Re.upf
Mo 95.94 Mo.upf
CELL_PARAMETERS angstrom
3.254 0.000 0.000
0.000 4.647 0.000
0.000 0.000 4.665
ATOMIC_POSITIONS angstrom
Y 0.000 0.000 0.000
Re 1.627 0.000 2.332
Mo 0.000 2.324 2.332
Mo 1.627 2.324 0.000
! formation energy from the elements = 0.387 eV/atom
! SG = No. 47
! calculated density = 11.0 g/cm3
! polymorph energy (0 for the lowest one) = 160.4 meV/atom

---

No. 4
! Y2ReMo, optimized geometry, DFT PBE-GGA; values from VASP
&SYSTEM
  ibrav = 0, nat = 8, ntyp = 3
/
ATOMIC_SPECIES
Y 88.91 Y.upf
Re 186.21 Re.upf
Mo 95.94 Mo.upf
CELL_PARAMETERS angstrom
3.462 0.000 0.000
0.000 4.882 0.000
0.000 0.000 9.643
ATOMIC_POSITIONS angstrom
Y 0.000 0.000 2.321
Y 0.000 0.000 7.322
Y 1.731 2.441 2.500
Y 1.731 2.441 7.143
Re 0.000 2.441 4.822
Re 1.731 0.000 0.000
Mo 0.000 2.441 0.000
Mo 1.731 0.000 4.822
! formation energy from the elements = 0.545 eV/atom
! SG = No. 71
! calculated density = 9.4 g/cm3
! polymorph energy (0 for the lowest one) = 462.5 meV/atom

---

No. 5
! YReMo2, optimized geometry, DFT PBE-GGA; values from VASP
&SYSTEM
  ibrav = 0, nat = 16, ntyp = 3
/
ATOMIC_SPECIES
Y 88.91 Y.upf
Re 186.21 Re.upf
Mo 95.94 Mo.upf
CELL_PARAMETERS angstrom
6.549 0.000 0.000
0.000 6.549 0.000
0.000 0.000 6.549
ATOMIC_POSITIONS angstrom
Y 0.000 0.000 0.000
Y 0.000 3.274 3.274
Y 3.274 0.000 3.274
Y 3.274 3.274 0.000
Re 1.637 1.637 1.637
Re 1.637 4.912 4.912
Re 4.912 1.637 4.912
Re 4.912 4.912 1.637
Mo 0.000 0.000 3.274
Mo 0.000 3.274 0.000
Mo 1.637 1.637 4.912
Mo 1.637 4.912 1.637
Mo 3.274 0.000 0.000
Mo 3.274 3.274 3.274
Mo 4.912 1.637 1.637
Mo 4.912 4.912 4.912
! formation energy from the elements = 0.317 eV/atom
! SG = No. 216
! calculated density = 11.0 g/cm3
! polymorph energy (0 for the lowest one) = 89.7 meV/atom

---

No. 6
! YReMo2, optimized geometry, DFT PBE-GGA; values from VASP
&SYSTEM
  ibrav = 0, nat = 16, ntyp = 3
/
ATOMIC_SPECIES
Y 88.91 Y.upf
Re 186.21 Re.upf
Mo 95.94 Mo.upf
CELL_PARAMETERS angstrom
7.527 0.000 0.000
0.000 7.527 0.000
0.000 0.000 5.694
ATOMIC_POSITIONS angstrom
Y 0.000 0.000 0.000
Y 0.000 3.763 1.423
Y 3.763 0.000 4.270
Y 3.763 3.763 2.847
Re 0.000 0.000 2.847
Re 0.000 3.763 4.270
Re 3.763 0.000 1.423
Re 3.763 3.763 0.000
Mo 1.499 1.882 3.558
Mo 1.882 5.262 4.982
Mo 1.882 6.027 2.135
Mo 2.264 1.882 0.712
Mo 5.262 5.645 0.712
Mo 5.645 1.499 2.135
Mo 5.645 2.264 4.982
Mo 6.027 5.645 3.558
! formation energy from the elements = 0.691 eV/atom
! SG = No. 122
! calculated density = 9.6 g/cm3
! polymorph energy (0 for the lowest one) = 464.3 meV/atom